# 1
VASP calculation (GGA-PBE) on an optimized crystal structure of Th3HgRu.

Formation energy, eV/f.u.: -1.17
DFT total energy, eV for the cell shown: -66.01
Space-group type: P2_1/m

Lattice parameters (Å, degrees): 5.835 7.312 7.091 90.00 111.49 90.00
Fractional coordinates of all 10 atoms:
Th (0.156, 0.250, 0.151)
Th (0.288, 0.018, 0.700)
Th (0.288, 0.482, 0.700)
Th (0.712, 0.518, 0.300)
Th (0.712, 0.982, 0.300)
Th (0.844, 0.750, 0.849)
Hg (0.224, 0.750, 0.316)
Hg (0.776, 0.250, 0.684)
Ru (0.389, 0.750, 0.975)
Ru (0.611, 0.250, 0.025)

# 2
VASP calculation (GGA-PBE) on an optimized crystal structure of InIr2SN.

DFT total energy, eV for the cell shown: -21.32
Space-group type: P4/mmm
Raw formation energy, eV per atom: 2.318

Lattice parameters (Å, degrees): 5.059 5.059 3.903 90.00 90.00 90.00
Fractional coordinates of all 5 atoms:
In (0.000, 0.000, 0.000)
Ir (0.000, 0.500, 0.000)
Ir (0.500, 0.000, 0.000)
S (0.500, 0.500, 0.500)
N (0.000, 0.000, 0.500)

# 3
VASP calculation (GGA-PBE) on an optimized crystal structure of NbSiRu2.

DFT total energy, eV for the cell shown: -35.96
Space-group type: P4/mmm
Raw formation energy, eV per atom: -0.480

Lattice parameters (Å, degrees): 2.978 2.978 6.455 90.00 90.00 90.00
Fractional coordinates of all 4 atoms:
Nb (0.000, 0.000, 0.000)
Si (0.000, 0.000, 0.500)
Ru (0.500, 0.500, 0.282)
Ru (0.500, 0.500, 0.718)

# 4
VASP calculation (GGA-PBE) on an optimized crystal structure of Sm8HgC4.

Formation energy, eV/f.u.: -2.05
DFT total energy, eV for the cell shown: -77.00
Space-group type: C2/m

Lattice parameters (Å, degrees): 9.250 9.250 12.570 131.83 131.83 23.04
Fractional coordinates of all 13 atoms:
Sm (0.044, 0.044, 0.223)
Sm (0.306, 0.306, 0.448)
Sm (0.342, 0.342, 0.163)
Sm (0.358, 0.358, 0.902)
Sm (0.642, 0.642, 0.098)
Sm (0.658, 0.658, 0.837)
Sm (0.694, 0.694, 0.552)
Sm (0.956, 0.956, 0.777)
Hg (0.000, 0.000, 0.500)
C (0.153, 0.153, 0.971)
C (0.326, 0.326, 0.666)
C (0.674, 0.674, 0.334)
C (0.847, 0.847, 0.029)

# 5
VASP calculation (GGA-PBE) on an optimized crystal structure of Li2CaCu.

Formation energy, eV/f.u.: 0.32
DFT total energy, eV for the cell shown: -9.61
Space-group type: P2/m

Lattice parameters (Å, degrees): 3.713 4.891 4.870 90.00 97.05 90.00
Fractional coordinates of all 4 atoms:
Li (0.186, 0.000, 0.301)
Li (0.814, 0.000, 0.699)
Ca (0.500, 0.500, 0.000)
Cu (0.000, 0.500, 0.500)

# 6
VASP calculation (GGA-PBE) on an optimized crystal structure of TbTmMgCu.

Formation energy, eV/f.u.: -0.61
DFT total energy, eV for the cell shown: -15.40
Space-group type: P4mm

Lattice parameters (Å, degrees): 3.458 3.458 8.036 90.00 90.00 90.00
Fractional coordinates of all 4 atoms:
Tb (0.000, 0.000, 0.000)
Tm (0.000, 0.000, 0.580)
Mg (0.500, 0.500, 0.294)
Cu (0.500, 0.500, 0.779)